VASP calculation (PBE) on crystalline Er5Sc2Bi5 at its relaxed geometry.

DOS(E_F) = 9.009 states/eV per cell
ΔE_f = -0.5044 eV/atom

Cell lengths 20.638, 20.638, 20.638 Å; angles 12.65, 12.65, 12.65 degrees
Fractional coordinates of all 12 atoms:
Er 0.000 0.000 0.000
Er 0.139 0.139 0.139
Er 0.280 0.280 0.280
Er 0.720 0.720 0.720
Er 0.861 0.861 0.861
Sc 0.421 0.421 0.421
Sc 0.579 0.579 0.579
Bi 0.224 0.224 0.224
Bi 0.362 0.362 0.362
Bi 0.500 0.500 0.500
Bi 0.638 0.638 0.638
Bi 0.776 0.776 0.776

---

VASP calculation (PBE) on crystalline MgCd2Ag at its relaxed geometry.

DOS(E_F) = 1.271 states/eV per cell
ΔE_f = -0.0680 eV/atom

Cell lengths 3.288, 3.288, 7.567 Å; angles 90.00, 90.00, 90.00 degrees
Fractional coordinates of all 4 atoms:
Mg 0.000 0.000 0.000
Cd 0.500 0.500 0.260
Cd 0.500 0.500 0.740
Ag 0.000 0.000 0.500

---

VASP calculation (PBE) on crystalline Li3VMo at its relaxed geometry.

DOS(E_F) = 2.400 states/eV per cell
ΔE_f = 1.4868 eV/atom

Cell lengths 4.517, 4.517, 4.517 Å; angles 90.00, 90.00, 90.00 degrees
Fractional coordinates of all 5 atoms:
Li 0.000 0.000 0.500
Li 0.000 0.500 0.000
Li 0.500 0.000 0.000
V 0.000 0.000 0.000
Mo 0.500 0.500 0.500